The following is a GGA-PBE calculation of a relaxed YN3O crystal, from Alexandria.

Calculated values
VASP energy, eV per atom: -5.262
Total moment, μB/atom: 1.600
Formation energy (no corrections), kcal/mol of atoms: 46.54

CIF file:
```
data_YN3O
_symmetry_space_group_name_H-M 'P m -3 m'
_symmetry_Int_Tables_number 221
_symmetry_space_group_name_Hall '-P 4 2 3'
_cell_length_a 4.547
_cell_length_b 4.547
_cell_length_c 4.547
_cell_angle_alpha 90.00
_cell_angle_beta 90.00
_cell_angle_gamma 90.00
loop_
_atom_site_label
_atom_site_fract_x
_atom_site_fract_y
_atom_site_fract_z
_atom_site_occupancy
Y1 0.000 0.000 0.000 1
N1 0.000 0.000 0.500 1
O1 0.500 0.500 0.500 1
```


The following is a GGA-PBE calculation of a relaxed Sm2As4Ir3Pd crystal, from Alexandria.

Calculated values
VASP energy, eV per atom: -6.743
Total moment, μB/atom: 0.000

CIF file:
```
data_Sm2As4Ir3Pd
_symmetry_space_group_name_H-M 'P -4 m 2'
_symmetry_Int_Tables_number 115
_cell_length_a 4.363
_cell_length_b 4.363
_cell_length_c 9.848
_cell_angle_alpha 90.00
_cell_angle_beta 90.00
_cell_angle_gamma 90.00
loop_
_symmetry_equiv_pos_as_xyz
'x,y,z'
'y,-x,-z'
'-x,-y,z'
'-y,x,-z'
'-x,y,z'
'-y,-x,-z'
'x,-y,z'
'y,x,-z'
loop_
_atom_site_label
_atom_site_fract_x
_atom_site_fract_y
_atom_site_fract_z
_atom_site_occupancy
Sm1 0.000 0.500 0.247 1
As1 0.000 0.000 0.000 1
As2 0.000 0.500 0.637 1
As3 0.500 0.500 0.000 1
Ir1 0.000 0.500 0.883 1
Ir2 0.500 0.500 0.500 1
Pd1 0.000 0.000 0.500 1
```


The following is a GGA-PBE calculation of a relaxed SrCu2SiPd crystal, from Alexandria.

Calculated values
VASP energy, eV per atom: -4.450
Total moment, μB/atom: 0.000
Formation energy (no corrections), kcal/mol of atoms: -8.12

CIF file:
```
data_SrCu2SiPd
_symmetry_space_group_name_H-M 'I m m 2'
_symmetry_Int_Tables_number 44
_cell_length_a 4.213
_cell_length_b 4.290
_cell_length_c 10.150
_cell_angle_alpha 90.00
_cell_angle_beta 90.00
_cell_angle_gamma 90.00
loop_
_symmetry_equiv_pos_as_xyz
'x,y,z'
'-x,-y,z'
'-x,y,z'
'x,-y,z'
'x+1/2,y+1/2,z+1/2'
'-x+1/2,-y+1/2,z+1/2'
'-x+1/2,y+1/2,z+1/2'
'x+1/2,-y+1/2,z+1/2'
loop_
_atom_site_label
_atom_site_fract_x
_atom_site_fract_y
_atom_site_fract_z
_atom_site_occupancy
Sr1 0.000 0.000 0.000 1
Cu1 0.000 0.000 0.605 1
Cu2 0.000 0.500 0.256 1
Si1 0.000 0.000 0.368 1
Pd1 0.000 0.500 0.752 1
```


The following is a GGA-PBE calculation of a relaxed BeC crystal, from Alexandria.

Calculated values
VASP energy, eV per atom: -5.836
Total moment, μB/atom: 0.000

CIF file:
```
data_BeC
_symmetry_space_group_name_H-M 'P m m n'
_symmetry_Int_Tables_number 59
_cell_length_a 3.204
_cell_length_b 6.844
_cell_length_c 6.532
_cell_angle_alpha 90.00
_cell_angle_beta 90.00
_cell_angle_gamma 90.00
loop_
_symmetry_equiv_pos_as_xyz
'x,y,z'
'-x,-y,-z'
'-x+1/2,-y+1/2,z'
'x+1/2,y+1/2,-z'
'x+1/2,-y,-z'
'-x+1/2,y,z'
'-x,y+1/2,-z'
'x,-y+1/2,z'
loop_
_atom_site_label
_atom_site_fract_x
_atom_site_fract_y
_atom_site_fract_z
_atom_site_occupancy
Be1 0.250 0.090 0.139 1
Be2 0.250 0.750 0.602 1
C1 0.250 0.250 0.336 1
C2 0.250 0.659 0.098 1
```


The following is a GGA-PBE calculation of a relaxed Li6MgRh crystal, from Alexandria.

Calculated values
VASP energy, eV per atom: -2.620
Total moment, μB/atom: 0.000

CIF file:
```
data_Li6MgRh
_symmetry_space_group_name_H-M 'A m m 2'
_symmetry_Int_Tables_number 38
_cell_length_a 4.591
_cell_length_b 5.703
_cell_length_c 10.111
_cell_angle_alpha 90.00
_cell_angle_beta 90.00
_cell_angle_gamma 90.00
loop_
_symmetry_equiv_pos_as_xyz
'x,y,z'
'-x,-y,z'
'-x,y,z'
'x,-y,z'
'x,y+1/2,z+1/2'
'-x,-y+1/2,z+1/2'
'-x,y+1/2,z+1/2'
'x,-y+1/2,z+1/2'
loop_
_atom_site_label
_atom_site_fract_x
_atom_site_fract_y
_atom_site_fract_z
_atom_site_occupancy
Li1 0.000 0.000 0.000 1
Li2 0.000 0.231 0.744 1
Li3 0.500 0.000 0.154 1
Li4 0.500 0.248 0.898 1
Mg1 0.000 0.000 0.509 1
Rh1 0.500 0.000 0.648 1
```


The following is a GGA-PBE calculation of a relaxed ZrCoH2I crystal, from Alexandria.

Calculated values
VASP energy, eV per atom: -4.161
Total moment, μB/atom: 0.000

CIF file:
```
data_ZrCoH2I
_symmetry_space_group_name_H-M 'P 4/m m m'
_symmetry_Int_Tables_number 123
_symmetry_space_group_name_Hall '-P 4 2'
_cell_length_a 3.904
_cell_length_b 3.904
_cell_length_c 4.827
_cell_angle_alpha 90.00
_cell_angle_beta 90.00
_cell_angle_gamma 90.00
loop_
_atom_site_label
_atom_site_fract_x
_atom_site_fract_y
_atom_site_fract_z
_atom_site_occupancy
Zr1 0.000 0.000 0.000 1
Co1 0.500 0.500 0.500 1
H1 0.000 0.500 0.500 1
I1 0.500 0.500 0.000 1
```


The following is a GGA-PBE calculation of a relaxed Zr2Si4Ru3 crystal, from Alexandria.

Calculated values
VASP energy, eV per atom: -8.282
Total moment, μB/atom: 0.000
Formation energy (no corrections), kcal/mol of atoms: -20.29

CIF file:
```
data_Zr2Si4Ru3
_symmetry_space_group_name_H-M 'C 1 2/c 1'
_symmetry_Int_Tables_number 15
_cell_length_a 19.072
_cell_length_b 5.385
_cell_length_c 13.373
_cell_angle_alpha 90.00
_cell_angle_beta 127.77
_cell_angle_gamma 90.00
loop_
_symmetry_equiv_pos_as_xyz
'x,y,z'
'-x,-y,-z'
'-x,y,-z+1/2'
'x,-y,z+1/2'
'x+1/2,y+1/2,z'
'-x+1/2,-y+1/2,-z'
'-x+1/2,y+1/2,-z+1/2'
'x+1/2,-y+1/2,z+1/2'
loop_
_atom_site_label
_atom_site_fract_x
_atom_site_fract_y
_atom_site_fract_z
_atom_site_occupancy
Zr1 0.073 0.126 0.148 1
Zr2 0.166 0.373 0.863 1
Si1 0.000 0.121 0.750 1
Si2 0.000 0.369 0.250 1
Si3 0.113 0.359 0.605 1
Si4 0.170 0.243 0.065 1
Si5 0.235 0.123 0.396 1
Ru1 0.022 0.390 0.915 1
Ru2 0.124 0.140 0.434 1
Ru3 0.238 0.091 0.721 1
```


The following is a GGA-PBE calculation of a relaxed CaPr3Sm2S6 crystal, from Alexandria.

Calculated values
VASP energy, eV per atom: -6.245
Total moment, μB/atom: 0.000
Formation energy (no corrections), kcal/mol of atoms: -46.89

CIF file:
```
data_CaPr3Sm2S6
_symmetry_space_group_name_H-M 'C 1 2/m 1'
_symmetry_Int_Tables_number 12
_cell_length_a 7.012
_cell_length_b 12.151
_cell_length_c 7.055
_cell_angle_alpha 90.00
_cell_angle_beta 109.24
_cell_angle_gamma 90.00
loop_
_symmetry_equiv_pos_as_xyz
'x,y,z'
'-x,-y,-z'
'-x,y,-z'
'x,-y,z'
'x+1/2,y+1/2,z'
'-x+1/2,-y+1/2,-z'
'-x+1/2,y+1/2,-z'
'x+1/2,-y+1/2,z'
loop_
_atom_site_label
_atom_site_fract_x
_atom_site_fract_y
_atom_site_fract_z
_atom_site_occupancy
Ca1 0.000 0.000 0.000 1
Pr1 0.000 0.166 0.500 1
Pr2 0.000 0.500 0.500 1
Sm1 0.000 0.333 0.000 1
S1 0.245 0.165 0.240 1
S2 0.250 0.000 0.762 1
```


The following is a GGA-PBE calculation of a relaxed Pm5BCl5 crystal, from Alexandria.

Calculated values
VASP energy, eV per atom: -5.033
Total moment, μB/atom: 0.000
Formation energy (no corrections), kcal/mol of atoms: -32.91

CIF file:
```
data_Pm5BCl5
_symmetry_space_group_name_H-M 'C 1 2/m 1'
_symmetry_Int_Tables_number 12
_cell_length_a 12.387
_cell_length_b 5.605
_cell_length_c 8.268
_cell_angle_alpha 90.00
_cell_angle_beta 108.78
_cell_angle_gamma 90.00
loop_
_symmetry_equiv_pos_as_xyz
'x,y,z'
'-x,-y,-z'
'-x,y,-z'
'x,-y,z'
'x+1/2,y+1/2,z'
'-x+1/2,-y+1/2,-z'
'-x+1/2,y+1/2,-z'
'x+1/2,-y+1/2,z'
loop_
_atom_site_label
_atom_site_fract_x
_atom_site_fract_y
_atom_site_fract_z
_atom_site_occupancy
Pm1 0.000 0.000 0.000 1
Pm2 0.149 0.500 0.293 1
Pm3 0.163 0.500 0.864 1
B1 0.000 0.500 0.000 1
Cl1 0.000 0.500 0.500 1
Cl2 0.153 0.000 0.801 1
Cl3 0.165 0.000 0.349 1
```


The following is a GGA-PBE calculation of a relaxed Tb2ErS4 crystal, from Alexandria.

Calculated values
VASP energy, eV per atom: -6.397
Total moment, μB/atom: 0.000
Formation energy (no corrections), kcal/mol of atoms: -47.59

CIF file:
```
data_Tb2ErS4
_symmetry_space_group_name_H-M 'I m m a'
_symmetry_Int_Tables_number 74
_symmetry_space_group_name_Hall '-I 2b 2'
_cell_length_a 7.833
_cell_length_b 7.869
_cell_length_c 10.911
_cell_angle_alpha 90.00
_cell_angle_beta 90.00
_cell_angle_gamma 90.00
loop_
_atom_site_label
_atom_site_fract_x
_atom_site_fract_y
_atom_site_fract_z
_atom_site_occupancy
Tb1 0.000 0.000 0.000 1
Tb2 0.250 0.250 0.250 1
Er1 0.250 0.250 0.750 1
S1 0.000 0.003 0.747 1
S2 0.244 0.250 0.998 1
```


The following is a GGA-PBE calculation of a relaxed Sm3PtAu2 crystal, from Alexandria.

Calculated values
VASP energy, eV per atom: -5.358
Total moment, μB/atom: 0.000

CIF file:
```
data_Sm3PtAu2
_symmetry_space_group_name_H-M 'C m m m'
_symmetry_Int_Tables_number 65
_symmetry_space_group_name_Hall '-C 2 2'
_cell_length_a 5.125
_cell_length_b 15.445
_cell_length_c 7.308
_cell_angle_alpha 90.00
_cell_angle_beta 90.00
_cell_angle_gamma 90.00
loop_
_atom_site_label
_atom_site_fract_x
_atom_site_fract_y
_atom_site_fract_z
_atom_site_occupancy
Sm1 0.000 0.000 0.246 1
Sm2 0.000 0.330 0.240 1
Pt1 0.000 0.159 0.000 1
Au1 0.000 0.168 0.500 1
Au2 0.000 0.500 0.000 1
Au3 0.000 0.500 0.500 1
```


The following is a GGA-PBE calculation of a relaxed Ho2Er6Ni crystal, from Alexandria.

Calculated values
VASP energy, eV per atom: -4.585
Total moment, μB/atom: 0.000

CIF file:
```
data_Ho2Er6Ni
_symmetry_space_group_name_H-M 'C m m m'
_symmetry_Int_Tables_number 65
_symmetry_space_group_name_Hall '-C 2 2'
_cell_length_a 9.018
_cell_length_b 16.837
_cell_length_c 3.535
_cell_angle_alpha 90.00
_cell_angle_beta 90.00
_cell_angle_gamma 90.00
loop_
_atom_site_label
_atom_site_fract_x
_atom_site_fract_y
_atom_site_fract_z
_atom_site_occupancy
Ho1 0.000 0.173 0.000 1
Er1 0.170 0.336 0.500 1
Er2 0.235 0.500 0.000 1
Ni1 0.000 0.500 0.500 1
```